VASP calculation (GGA-PBEsol) on a relaxed structure of Ba2AlTe.

Cell: 4.091 5.884 5.884 Å, 100.80 90.00 90.00°
Sites, in units of the cell vectors:
1 Ba 0.000 0.000 0.500
2 Te 0.500 0.000 0.000
3 Al 0.500 0.500 0.500
4 Ba 0.000 0.500 0.000

Its excess energy over the best structure of this formula in the dataset is 0.00 eV per formula unit.